Density functional theory data (PBE) for an optimized crystal structure of CdFeW2.

Computed properties:
Space-group type   P4/mmm (123)
Volume   65.1 Å³/f.u.
N(E_F)   4.3 states/eV/f.u.
Energy relative to the elements   556 meV per atom

Lattice parameters (Å, degrees): 3.2537 3.2537 6.1511 90.00 90.00 90.00
Each line ends with the local moment (μB).
Fractional coordinates of all 4 atoms:
Fe1 0.5000 0.5000 0.7500  1.92
W1 0.0000 0.0000 0.9494  -0.03
W2 0.0000 0.0000 0.5506  -0.03
Cd1 0.5000 0.5000 0.2500  0.00